1.
This record from Alexandria describes a PBEsol-optimized structure of CsBa3Rh. The functional is SCAN.

a = 6.2123 Å, b = 6.2123 Å, c = 6.2123 Å
α = 90.00°, β = 90.00°, γ = 90.00°
Fractional positions:
1 Ba 0.0000 0.0000 0.5000
2 Ba 0.0000 0.5000 0.0000
3 Cs 0.5000 0.5000 0.5000
4 Rh 0.0000 0.0000 0.0000
5 Ba 0.5000 0.0000 0.0000

***

2.
This record from Alexandria describes a PBEsol-optimized structure of CaCuHg2Ru. The functional is SCAN.

a = 4.7393 Å, b = 5.3276 Å, c = 5.3276 Å
α = 90.00°, β = 90.00°, γ = 90.00°
Fractional positions:
1 Cu 0.5000 0.0000 0.0000
2 Ca 0.0000 0.0000 0.0000
3 Hg 0.0000 0.0000 0.5000
4 Ru 0.5000 0.5000 0.5000
5 Hg 0.0000 0.5000 0.0000

***

3.
This record from Alexandria describes a PBEsol-optimized structure of Ba2Al2Ag. The functional is SCAN.

a = 6.0106 Å, b = 6.0106 Å, c = 6.0106 Å
α = 102.18°, β = 113.23°, γ = 113.23°
Fractional positions:
1 Ag 0.0000 0.0000 0.0000
2 Al 0.0000 0.6617 0.6617
3 Ba 0.5000 0.2500 0.7500
4 Al 0.0000 0.3383 0.3383
5 Ba 0.5000 0.7500 0.2500

***

| no. | E_form (kJ per mole of atoms) |
| --- | --- |
| 1 | -2.86 |
| 2 | 141.16 |
| 3 | 4.78 |